# HfNbCuRu2

A geometry-optimized HfNbCuRu2 structure (PBE-GGA, Alexandria via LeMat-Bulk). Values from VASP.

Properties
As for the formation energy: 32.772 kcal/mol of atoms. The calculation puts the raw total energy at -7.113 eV/atom. Its space group is P4/mmm (123).

```
&SYSTEM
  ibrav = 0, nat = 5, ntyp = 4
/
ATOMIC_SPECIES
Ru 101.07 Ru.upf
Cu 63.55 Cu.upf
Nb 92.91 Nb.upf
Hf 178.49 Hf.upf
CELL_PARAMETERS angstrom
-0.950 1.792 4.194
-3.943 -3.120 0.439
2.748 -3.194 1.987
ATOMIC_POSITIONS angstrom
Ru -0.475 0.896 2.097
Ru 1.374 -1.597 0.994
Cu -1.073 -2.261 3.310
Nb 0.000 0.000 0.000
Hf -1.972 -1.560 0.220
```

***

# Tm2MgRh3

A geometry-optimized Tm2MgRh3 structure (PBE-GGA, Alexandria via LeMat-Bulk). Values from VASP.

Properties
As for the formation energy: -19.292 kcal/mol of atoms. The calculation puts the raw total energy at -6.269 eV/atom. Its space group is P4/mmm (123). The calculation puts the energy above the most stable polymorph in this dataset at 19 meV per atom.

```
&SYSTEM
  ibrav = 0, nat = 6, ntyp = 3
/
ATOMIC_SPECIES
Tm 168.93 Tm.upf
Rh 102.91 Rh.upf
Mg 24.30 Mg.upf
CELL_PARAMETERS angstrom
3.311 0.000 0.000
0.000 3.311 0.000
0.000 0.000 9.777
ATOMIC_POSITIONS angstrom
Tm 1.656 1.656 8.040
Tm 1.656 1.656 1.737
Rh 0.000 0.000 3.369
Rh 0.000 0.000 0.000
Rh 0.000 0.000 6.408
Mg 1.656 1.656 4.888
```

***

# YAlP2

A geometry-optimized YAlP2 structure (PBE-GGA, Alexandria via LeMat-Bulk). Values from VASP.

Properties
As for the formation energy: -19.925 kcal/mol of atoms. The calculation puts the raw total energy at -6.121 eV/atom. Its space group is R-3m (166).

```
&SYSTEM
  ibrav = 0, nat = 4, ntyp = 3
/
ATOMIC_SPECIES
P 30.97 P.upf
Y 88.91 Y.upf
Al 26.98 Al.upf
CELL_PARAMETERS angstrom
3.822 0.000 0.000
1.913 3.310 0.000
1.908 1.101 6.159
ATOMIC_POSITIONS angstrom
P 1.908 1.101 5.954
P 3.821 2.205 3.285
Y 1.911 1.103 1.540
Al 5.732 3.308 4.619
```

***

# SmEuIrPt

A geometry-optimized SmEuIrPt structure (PBE-GGA, Alexandria via LeMat-Bulk). Values from VASP.

Properties
As for the formation energy: -16.462 kcal/mol of atoms. The calculation puts the raw total energy at -8.188 eV/atom. Its space group is F-43m (216).

```
&SYSTEM
  ibrav = 0, nat = 4, ntyp = 4
/
ATOMIC_SPECIES
Pt 195.08 Pt.upf
Eu 151.96 Eu.upf
Ir 192.22 Ir.upf
Sm 150.36 Sm.upf
CELL_PARAMETERS angstrom
5.002 0.000 0.000
2.501 4.332 0.000
2.501 1.444 4.085
ATOMIC_POSITIONS angstrom
Pt 5.002 2.888 2.042
Eu 2.501 1.444 1.021
Ir 0.000 0.000 0.000
Sm 7.504 4.332 3.063
```

***

# CsHoSnS3

A geometry-optimized CsHoSnS3 structure (PBE-GGA, Alexandria via LeMat-Bulk). Values from VASP.

Properties
The calculation puts the raw total energy at -4.926 eV/atom. Its space group is Cmcm (63). The formation energy without anion corrections is -7.74 eV per formula unit.

```
&SYSTEM
  ibrav = 0, nat = 12, ntyp = 4
/
ATOMIC_SPECIES
Sn 118.71 Sn.upf
Ho 164.93 Ho.upf
S 32.06 S.upf
Cs 132.91 Cs.upf
CELL_PARAMETERS angstrom
-0.443 -1.071 3.812
4.625 -7.066 -3.531
9.803 5.127 2.581
ATOMIC_POSITIONS angstrom
Sn 10.794 -2.097 0.665
Sn 3.191 -0.914 2.196
Ho 0.000 0.000 0.000
Ho 4.902 2.563 1.290
S 8.454 -3.453 0.012
S 13.253 -0.944 1.275
S 0.733 -2.067 1.586
S 5.531 0.443 2.849
S 2.546 1.118 0.610
S 11.439 -4.129 2.251
Cs 8.812 0.407 3.221
Cs 5.173 -3.417 -0.359
```

***

# ZrCrAsSe2

A geometry-optimized ZrCrAsSe2 structure (PBE-GGA, Alexandria via LeMat-Bulk). Values from VASP.

Properties
The calculation puts the raw total energy at -5.261 eV/atom. Its space group is P4/mmm (123). The calculation puts the energy above the most stable polymorph in this dataset at 641 meV per atom. The formation energy without anion corrections is 3.48 eV per formula unit.

```
&SYSTEM
  ibrav = 0, nat = 5, ntyp = 4
/
ATOMIC_SPECIES
Se 78.96 Se.upf
Zr 91.22 Zr.upf
Cr 52.00 Cr.upf
As 74.92 As.upf
CELL_PARAMETERS angstrom
5.173 0.000 0.000
0.000 5.173 0.000
0.000 0.000 5.275
ATOMIC_POSITIONS angstrom
Se 0.000 2.587 0.000
Se 2.587 0.000 0.000
Zr 0.000 0.000 0.000
Cr 2.587 2.587 2.638
As 0.000 0.000 2.638
```

***

Question: Which of these has the highest raw total energy?
Answer: CsHoSnS3

***

Question: Among the records above, which one has the lowest raw total energy?
Answer: SmEuIrPt